Record 1
Here is a geometry-optimized Ac6InGa structure from Alexandria via LeMat-Bulk. Energies are from PBE-GGA.

## Properties
**Calculated formation energy**: -0.183 eV per atom
**Volume**: 38.894 A^3/atom
**M_tot**: 0.00 μB per formula unit
**Fermi-level density of states**: 21.219 states/eV/cell
**ρ**: 8.3 Mg/m³

a = 5.636 Å, b = 5.636 Å, c = 19.591 Å
α = 90.00°, β = 90.00°, γ = 90.00°
Space group I4/mmm (No. 139)
Symmetry-distinct sites (fractional):
Ac: 0.000 0.000 0.250
Ac: 0.000 0.500 0.105
In: 0.000 0.000 0.000
Ga: 0.000 0.000 0.500

***

Record 2
Here is a geometry-optimized Na2PbCl structure from Alexandria via LeMat-Bulk. Energies are from PBE-GGA.

## Properties
**Raw formation energy**: -0.6379 eV/atom
**Volume**: 30.834 A^3/atom
**M_tot**: 0.00 μB per formula unit
**Fermi-level density of states**: 4.282 states/eV/cell
**ρ**: 3.9 Mg/m³

a = 7.757 Å, b = 7.757 Å, c = 8.199 Å
α = 90.00°, β = 90.00°, γ = 90.00°
Space group I-42d (No. 122)
Symmetry-distinct sites (fractional):
Na: 0.187 0.250 0.125
Pb: 0.000 0.000 0.500
Cl: 0.000 0.000 0.000

***

Record 3
Here is a geometry-optimized SmSbTe3 structure from Alexandria via LeMat-Bulk. Energies are from PBE-GGA.

## Properties
**Raw formation energy**: -0.6701 eV/atom
**Volume**: 34.440 A^3/atom
**M_tot**: 0.00 μB per formula unit
**Fermi-level density of states**: 0.715 states/eV/cell
**ρ**: 6.3 Mg/m³

a = 18.546 Å, b = 4.462 Å, c = 8.409 Å
α = 90.00°, β = 98.18°, γ = 90.00°
Space group C2/m (No. 12)
Symmetry-distinct sites (fractional):
Sm: 0.209 0.000 0.243
Sb: 0.056 0.500 0.690
Te: 0.032 0.000 0.214
Te: 0.162 0.500 0.985
Te: 0.180 0.000 0.605

***

Record 4
Here is a geometry-optimized BaIrOF2 structure from Alexandria via LeMat-Bulk. Energies are from PBE-GGA.

## Properties
**Raw formation energy**: -0.4098 eV/atom
**Volume**: 24.570 A^3/atom
**M_tot**: 3.65 μB per formula unit
**Fermi-level density of states**: 4.851 states/eV/cell
**ρ**: 5.2 Mg/m³

a = 4.929 Å, b = 4.929 Å, c = 5.057 Å
α = 90.00°, β = 90.00°, γ = 90.00°
Space group P4/mmm (No. 123)
Symmetry-distinct sites (fractional):
Ba: 0.000 0.000 0.000
Ir: 0.500 0.500 0.500
O: 0.000 0.000 0.500
F: 0.000 0.500 0.000